#P
PrTm3Ru: optimized geometry, PBE.

Properties
Spin magnetization ... 0.0 μB per formula unit
Density of states at the Fermi level ... 1.515 states/eV/atom

Unit cell a=5.347 b=5.347 c=5.347 alpha=90.00 beta=90.00 gamma=90.00
Element x y z (fractional)
Pr (0.000, 0.000, 0.000)
Tm (0.000, 0.500, 0.500)
Tm (0.500, 0.000, 0.500)
Tm (0.500, 0.500, 0.000)
Ru (0.500, 0.500, 0.500)

#Q
PrTm3Ru: optimized geometry, PBE.

Properties
Spin magnetization ... 0.0 μB per formula unit
Density of states at the Fermi level ... 1.167 states/eV/atom

Unit cell a=7.189 b=7.189 c=8.037 alpha=122.95 beta=122.95 gamma=71.67
Element x y z (fractional)
Pr (0.052, 0.052, 0.332)
Pr (0.948, 0.948, 0.668)
Tm (0.063, 0.461, 0.214)
Tm (0.443, 0.443, 0.745)
Tm (0.461, 0.063, 0.214)
Tm (0.539, 0.937, 0.786)
Tm (0.557, 0.557, 0.255)
Tm (0.937, 0.539, 0.786)
Ru (0.257, 0.257, 0.901)
Ru (0.743, 0.743, 0.099)

#Q is favored, and the nearest alternative lies 69 meV/atom above it.

#P
PrTm3Ru2: optimized geometry, PBE.

Properties
Spin magnetization ... 0.0 μB per formula unit
Density of states at the Fermi level ... 0.782 states/eV/atom

Unit cell a=6.681 b=6.681 c=3.946 alpha=90.00 beta=90.00 gamma=120.00
Element x y z (fractional)
Pr (0.000, 0.000, 0.000)
Tm (0.000, 0.500, 0.500)
Tm (0.500, 0.000, 0.500)
Tm (0.500, 0.500, 0.500)
Ru (0.333, 0.667, 0.000)
Ru (0.667, 0.333, 0.000)

#Q
PrTm3Ru2: optimized geometry, PBE.

Properties
Spin magnetization ... 0.0 μB per formula unit
Density of states at the Fermi level ... 0.823 states/eV/atom

Unit cell a=3.398 b=3.398 c=12.331 alpha=90.00 beta=90.00 gamma=90.00
Element x y z (fractional)
Pr (0.000, 0.000, 0.000)
Tm (0.500, 0.500, 0.234)
Tm (0.500, 0.500, 0.500)
Tm (0.500, 0.500, 0.766)
Ru (0.000, 0.000, 0.359)
Ru (0.000, 0.000, 0.641)

#Q is favored, and the nearest alternative lies 139 meV/atom above it.